A plane-wave DFT calculation with PBE was carried out for a relaxed LaTbLu2 crystal.

extended XYZ file:
```
4
Lattice="4.929 0.000 0.000 0.000 5.092 0.000 0.000 0.000 5.092" Properties=species:S:1:pos:R:3 pbc="T T T"
La 2.465 0.000 0.000
Tb 2.465 2.546 2.546
Lu 0.000 2.546 0.000
Lu 0.000 0.000 2.546
```

Energy above the lowest structure with this stoichiometry in eV/atom: 0.000
Symmetry: P4/mmm

=====

A plane-wave DFT calculation with PBE was carried out for a relaxed Sc4TlPt crystal.

extended XYZ file:
```
6
Lattice="0.000 4.014 4.014 4.014 0.000 4.014 4.014 4.014 0.000" Properties=species:S:1:pos:R:3 pbc="T T T"
Sc 3.006 3.006 3.006
Sc 5.022 3.006 5.022
Sc 3.006 5.022 5.022
Sc 5.022 5.022 3.006
Pt 0.000 0.000 0.000
Tl 6.021 6.021 6.021
```

Energy above the lowest structure with this stoichiometry in eV/atom: 0.527
Symmetry: F-43m

=====

A plane-wave DFT calculation with PBE was carried out for a relaxed CeHo7Er2 crystal.

extended XYZ file:
```
10
Lattice="-4.556 2.585 -1.439 0.482 -3.850 -8.442 -4.432 -3.783 7.237" Properties=species:S:1:pos:R:3 pbc="T T T"
Ho -4.977 -4.998 -3.474
Ho -3.529 -0.050 0.830
Ho -6.082 -4.983 0.052
Ho -3.420 -3.797 4.008
Ho -2.424 -0.066 -2.695
Ho -4.253 -2.524 -1.322
Ho -0.530 -3.836 -5.213
Ce 0.000 0.000 0.000
Er -3.254 -2.538 -4.509
Er -5.252 -2.511 1.865
```

Symmetry: Cmmm

=====

Computed ΔH_f (0 K), in the same sequence as the records: 0.040, 0.097, 0.736 eV/atom.
Computed V, in the same sequence as the records: 128, 129, 387 Å³/cell.